VBi2MoPd: relaxed, PBE.

The value obtained for the formation energy is 1.14 eV per atom.

The space group is P4/mmm (No. 123) and the conventional cell measures 5.1923, 5.1923 and 4.7358 Å, with angles of 90.00, 90.00 and 90.00 degrees. The asymmetric unit holds V at (0.0000, 0.0000, 0.0000), Bi at (0.0000, 0.5000, 0.0000), Mo at (0.5000, 0.5000, 0.5000) and Pd at (0.0000, 0.0000, 0.5000).


Pr9Er4Zn11: relaxed, PBE.

The value obtained for the formation energy is -0.23 eV per atom.

The space group is Cmmm (No. 65) and the conventional cell measures 15.2914, 22.3480 and 3.5396 Å, with angles of 90.00, 90.00 and 90.00 degrees. The asymmetric unit holds Pr at (0.0000, 0.0000, 0.0000), Pr at (0.1152, 0.2447, 0.0000), Pr at (0.1252, 0.4168, 0.0000), Er at (0.1525, 0.0956, 0.0000), Zn at (0.0000, 0.1376, 0.5000), Zn at (0.0000, 0.3360, 0.5000), Zn at (0.0000, 0.5000, 0.5000), Zn at (0.2320, 0.0000, 0.5000) and Zn at (0.2411, 0.3228, 0.5000).


TaSb4: relaxed, PBE.

The calculation puts the polymorph energy (0 for the lowest one) at 0.0 kJ/mol of atoms.

The space group is Im-3m (No. 229) and the conventional cell measures 6.6118, 6.6118 and 6.6118 Å, with angles of 90.00, 90.00 and 90.00 degrees. The asymmetric unit holds Ta at (0.0000, 0.0000, 0.0000) and Sb at (0.2500, 0.2500, 0.2500).


Number 1: DOS(E_F) 4.739 states/eV/f.u., theoretical density 8.7 g/cm³, calculated total energy -5.444 eV per atom. Number 2: DOS(E_F) 22.930 states/eV/f.u., theoretical density 7.3 g/cm³, calculated total energy -3.362 eV per atom. Number 3: DOS(E_F) 2.929 states/eV/f.u., theoretical density 7.7 g/cm³, calculated total energy -5.357 eV per atom.